a:
Co4C: relaxed, PBE-GGA.

DOS at the Fermi energy = 1.162 states/eV per atom
Crystal system = tetragonal

Lattice parameters (Å, degrees): 6.6129 6.6129 6.6129 153.87 153.87 37.29
Each line ends with the local moment (μB).
Fractional positions:
Co 0.2500 0.7500 0.5000  1.55
Co 0.7500 0.2500 0.5000  1.55
Co 0.5893 0.5893 0.0000  1.58
Co 0.4107 0.4107 0.0000  1.58
C 0.0000 0.0000 0.0000  -0.05

=====

b:
Co4C: relaxed, PBE-GGA.

DOS at the Fermi energy = 1.516 states/eV per atom
Crystal system = cubic

Lattice parameters (Å, degrees): 4.1008 4.1008 4.1008 109.47 109.47 109.47
Each line ends with the local moment (μB).
Fractional positions:
Co 0.0000 0.0000 0.5000  1.38
Co 0.5000 0.5000 0.5000  1.38
Co 0.5000 0.0000 0.0000  1.38
Co 0.0000 0.5000 0.0000  1.38
C 0.0000 0.0000 0.0000  -0.04

=====

Verdict on stability: a comes out at the bottom.

=====

a:
Co4C: relaxed, PBE-GGA.

DOS at the Fermi energy = 1.622 states/eV per atom
Crystal system = cubic

Lattice parameters (Å, degrees): 3.7340 3.7340 3.7340 90.00 90.00 90.00
Each line ends with the local moment (μB).
Fractional positions:
Co 0.5000 0.0000 0.5000  1.36
Co 0.0000 0.0000 0.0000  2.03
Co 0.5000 0.5000 0.0000  1.36
Co 0.0000 0.5000 0.5000  1.36
C 0.5000 0.5000 0.5000  0.00

=====

b:
Co4C: relaxed, PBE-GGA.

DOS at the Fermi energy = 0.824 states/eV per atom
Crystal system = tetragonal

Lattice parameters (Å, degrees): 4.5378 4.5378 4.5378 94.28 94.28 148.30
Each line ends with the local moment (μB).
Fractional positions:
C 0.0000 0.0000 0.0000  -0.08
Co 0.2378 0.5695 0.8073  1.22
Co 0.5695 0.7622 0.3316  1.22
Co 0.4305 0.2378 0.6684  1.22
Co 0.7622 0.4305 0.1927  1.22

=====

c:
Co4C: relaxed, PBE-GGA.

DOS at the Fermi energy = 0.713 states/eV per atom
Crystal system = trigonal

Lattice parameters (Å, degrees): 2.6380 2.6380 8.7964 90.00 90.00 120.00
Each line ends with the local moment (μB).
Fractional positions:
Co 0.6667 0.3333 0.3935  1.75
Co 0.6667 0.3333 0.1258  0.25
Co 0.3333 0.6667 0.8742  0.25
Co 0.3333 0.6667 0.6065  1.75
C 0.0000 0.0000 0.0000  -0.03

=====

Verdict on stability: c comes out at the bottom.

=====

a:
Co5C3: relaxed, PBE-GGA.

DOS at the Fermi energy = 1.083 states/eV per atom
Crystal system = orthorhombic

Lattice parameters (Å, degrees): 4.9834 4.9834 2.9811 90.00 90.00 109.14
Each line ends with the local moment (μB).
Fractional positions:
C 0.5000 0.5000 0.0000  -0.01
C 0.8413 0.1587 0.5000  -0.01
C 0.1587 0.8413 0.5000  -0.01
Co 0.6973 0.6973 0.5000  0.15
Co 0.0000 0.5000 0.0000  0.63
Co 0.3027 0.3027 0.5000  0.15
Co 0.0000 0.0000 0.0000  0.40
Co 0.5000 0.0000 0.0000  0.63

=====

b:
Co5C3: relaxed, PBE-GGA.

DOS at the Fermi energy = 0.904 states/eV per atom
Crystal system = monoclinic

Lattice parameters (Å, degrees): 7.5263 5.5835 5.9294 81.59 51.96 51.20
Each line ends with the local moment (μB).
Fractional positions:
C 0.7607 0.0831 0.7393  -0.02
C 0.8101 0.2230 0.1833  -0.02
C 0.3167 0.7163 0.6899  -0.02
C 0.9195 0.5983 0.2407  -0.02
C 0.2593 0.2585 0.5805  -0.02
C 0.3429 0.8417 0.1571  -0.01
Co 0.6899 0.0201 0.1566  0.41
Co 0.2282 0.0254 0.9340  0.10
Co 0.7135 0.7780 0.7865  0.77
Co 0.3434 0.3666 0.8101  0.41
Co 0.7228 0.4265 0.5449  0.35
Co 0.9551 0.1942 0.7772  0.35
Co 0.9695 0.8650 0.3106  0.09
Co 0.1894 0.6451 0.5305  0.09
Co 0.2129 0.2642 0.2871  0.46
Co 0.5660 0.6875 0.2718  0.10

=====

c:
Co5C3: relaxed, PBE-GGA.

DOS at the Fermi energy = 0.776 states/eV per atom
Crystal system = tetragonal

Lattice parameters (Å, degrees): 2.4654 2.4654 11.0089 90.00 90.00 90.00
Each line ends with the local moment (μB).
Fractional positions:
C 0.5000 0.5000 0.8697  -0.01
C 0.5000 0.5000 0.1303  -0.01
C 0.0000 0.0000 0.5000  -0.01
Co 0.0000 0.0000 0.2142  0.26
Co 0.5000 0.5000 0.3964  0.08
Co 0.0000 0.0000 0.0000  -0.03
Co 0.5000 0.5000 0.6036  0.08
Co 0.0000 0.0000 0.7858  0.26

=====

Verdict on stability: c comes out at the bottom.

=====

a:
Co5C4: relaxed, PBE-GGA.

DOS at the Fermi energy = 0.800 states/eV per atom
Crystal system = hexagonal

Lattice parameters (Å, degrees): 5.5286 5.5286 5.5698 90.00 90.00 120.00
Fractional positions:
C 0.0000 0.0000 0.0000
C 0.0000 0.4169 0.2500
C 0.5831 0.0000 0.7500
C 0.4169 0.0000 0.2500
C 0.4169 0.4169 0.7500
C 0.0000 0.0000 0.5000
C 0.0000 0.5831 0.7500
C 0.5831 0.5831 0.2500
Co 0.6667 0.3333 0.0000
Co 0.0000 0.7511 0.2500
Co 0.6667 0.3333 0.5000
Co 0.2489 0.0000 0.7500
Co 0.3333 0.6667 0.0000
Co 0.0000 0.2489 0.7500
Co 0.2489 0.2489 0.2500
Co 0.3333 0.6667 0.5000
Co 0.7511 0.0000 0.2500
Co 0.7511 0.7511 0.7500

=====

b:
Co5C4: relaxed, PBE-GGA.

DOS at the Fermi energy = 0.734 states/eV per atom
Crystal system = tetragonal

Lattice parameters (Å, degrees): 6.5548 6.5548 6.5548 92.04 92.04 158.27
Each line ends with the local moment (μB).
Fractional positions:
Co 0.6630 0.6630 0.3260  0.36
Co 0.0000 0.0000 0.0000  0.51
Co 0.6630 0.3370 0.0000  0.36
Co 0.3370 0.3370 0.6740  0.36
Co 0.3370 0.6630 0.0000  0.36
C 0.7888 0.0000 0.7888  -0.01
C 0.0000 0.2112 0.2112  -0.01
C 0.0000 0.7888 0.7888  -0.01
C 0.2112 0.0000 0.2112  -0.01

=====

Verdict on stability: b comes out at the bottom.

=====

a:
NbCrCo2C: relaxed, PBE-GGA.

DOS at the Fermi energy = 0.566 states/eV per atom
Crystal system = tetragonal

Lattice parameters (Å, degrees): 3.7774 3.7774 3.9380 90.00 90.00 90.00
Each line ends with the local moment (μB).
Fractional positions:
Nb 0.5000 0.5000 0.5000  -0.11
C 0.0000 0.0000 0.0000  0.00
Cr 0.0000 0.0000 0.5000  0.05
Co 0.5000 0.0000 0.0000  0.47
Co 0.0000 0.5000 0.0000  0.47

=====

b:
NbCrCo2C: relaxed, PBE-GGA.

DOS at the Fermi energy = 1.353 states/eV per atom
Crystal system = tetragonal

Lattice parameters (Å, degrees): 3.7340 4.2865 3.7340 90.00 90.00 90.00
Each line ends with the local moment (μB).
Fractional positions:
Co 0.0000 0.0000 0.5000  0.09
Co 0.5000 0.0000 0.0000  0.23
Cr 0.5000 0.5000 0.5000  2.02
Nb 0.0000 0.5000 0.0000  -0.47
C 0.0000 0.0000 0.0000  -0.01

=====

Verdict on stability: b comes out at the bottom.

=====

a:
CsCoC3: relaxed, PBE-GGA.

DOS at the Fermi energy = 0.771 states/eV per atom
Crystal system = cubic

Lattice parameters (Å, degrees): 4.0623 4.0623 4.0623 90.00 90.00 90.00
Each line ends with the local moment (μB).
Fractional positions:
C 0.0000 0.0000 0.5000  0.40
C 0.0000 0.5000 0.0000  0.40
C 0.5000 0.0000 0.0000  0.40
Cs 0.5000 0.5000 0.5000  0.11
Co 0.0000 0.0000 0.0000  0.90

=====

b:
CsCoC3: relaxed, PBE-GGA.

DOS at the Fermi energy = 1.595 states/eV per atom
Crystal system = cubic

Lattice parameters (Å, degrees): 4.4580 4.4580 4.4580 90.00 90.00 90.00
Fractional positions:
Cs 0.0000 0.0000 0.0000
C 0.0000 0.0000 0.5000
C 0.5000 0.0000 0.0000
C 0.0000 0.5000 0.0000
Co 0.5000 0.5000 0.5000

=====

Verdict on stability: b comes out at the bottom.

=====

a:
CsCo3C: relaxed, PBE-GGA.

DOS at the Fermi energy = 1.908 states/eV per atom
Crystal system = cubic

Lattice parameters (Å, degrees): 4.7191 4.7191 4.7191 90.00 90.00 90.00
Each line ends with the local moment (μB).
Fractional positions:
Co 0.5000 0.0000 0.0000  1.01
Co 0.0000 0.5000 0.0000  1.29
Co 0.0000 0.0000 0.5000  1.26
C 0.5000 0.5000 0.5000  0.33
Cs 0.0000 0.0000 0.0000  -0.04

=====

b:
CsCo3C: relaxed, PBE-GGA.

DOS at the Fermi energy = 1.494 states/eV per atom
Crystal system = cubic

Lattice parameters (Å, degrees): 4.0622 4.0622 4.0622 90.00 90.00 90.00
Each line ends with the local moment (μB).
Fractional positions:
Co 0.5000 0.0000 0.0000  0.46
Co 0.0000 0.5000 0.0000  0.58
Co 0.0000 0.0000 0.5000  0.57
Cs 0.5000 0.5000 0.5000  -0.01
C 0.0000 0.0000 0.0000  -0.04

=====

Verdict on stability: a comes out at the bottom.

=====

a:
CoCuC2: relaxed, PBE-GGA.

DOS at the Fermi energy = 0.619 states/eV per atom
Crystal system = tetragonal

Lattice parameters (Å, degrees): 4.4473 4.4473 5.3095 65.24 65.24 90.00
Fractional positions:
Co 0.2500 0.7500 0.5000
Co 0.5000 0.5000 0.0000
C 0.5910 0.1250 0.2500
C 0.8750 0.8410 0.7500
C 0.1590 0.6250 0.2500
C 0.3750 0.4090 0.7500
Cu 0.0000 0.0000 0.0000
Cu 0.7500 0.2500 0.5000

=====

b:
CoCuC2: relaxed, PBE-GGA.

DOS at the Fermi energy = 0.732 states/eV per atom
Crystal system = cubic

Lattice parameters (Å, degrees): 3.6073 3.6073 3.6073 60.00 60.00 60.00
Fractional positions:
C 0.2500 0.2500 0.2500
C 0.7500 0.7500 0.7500
Co 0.0000 0.0000 0.0000
Cu 0.5000 0.5000 0.5000

=====

Verdict on stability: b comes out at the bottom.

=====

a:
CoCu3C: relaxed, PBE-GGA.

DOS at the Fermi energy = 1.175 states/eV per atom
Crystal system = cubic

Lattice parameters (Å, degrees): 4.3420 4.3420 4.3420 90.00 90.00 90.00
Each line ends with the local moment (μB).
Fractional positions:
C 0.5000 0.5000 0.5000  0.39
Cu 0.5000 0.0000 0.0000  0.05
Cu 0.0000 0.5000 0.0000  0.12
Cu 0.0000 0.0000 0.5000  0.28
Co 0.0000 0.0000 0.0000  1.70

=====

b:
CoCu3C: relaxed, PBE-GGA.

DOS at the Fermi energy = 0.571 states/eV per atom
Crystal system = cubic

Lattice parameters (Å, degrees): 3.8346 3.8346 3.8346 90.00 90.00 90.00
Each line ends with the local moment (μB).
Fractional positions:
Cu 0.0000 0.0000 0.5000  0.04
Cu 0.0000 0.5000 0.0000  0.03
Cu 0.5000 0.0000 0.0000  0.03
Co 0.5000 0.5000 0.5000  1.76
C 0.0000 0.0000 0.0000  0.09

=====

Verdict on stability: a comes out at the bottom.

=====

a:
Dy2CoC2: relaxed, PBE-GGA.

DOS at the Fermi energy = 0.886 states/eV per atom
Crystal system = orthorhombic

Lattice parameters (Å, degrees): 5.0292 6.2297 9.6829 90.00 90.00 90.00
Fractional positions:
Dy 0.2500 0.8158 0.0544
Dy 0.7500 0.5164 0.2187
Dy 0.7500 0.1842 0.9456
Dy 0.7500 0.6842 0.5544
Dy 0.2500 0.9836 0.7187
Dy 0.2500 0.3158 0.4456
Dy 0.7500 0.0164 0.2813
Dy 0.2500 0.4836 0.7813
C 0.7500 0.8111 0.0443
C 0.7500 0.9680 0.7391
C 0.7500 0.3111 0.4557
C 0.7500 0.4680 0.7609
C 0.2500 0.6889 0.5443
C 0.2500 0.0320 0.2609
C 0.2500 0.1889 0.9557
C 0.2500 0.5320 0.2391
Co 0.7500 0.2320 0.6445
Co 0.7500 0.7320 0.8555
Co 0.2500 0.2680 0.1445
Co 0.2500 0.7680 0.3555

=====

b:
Dy2CoC2: relaxed, PBE-GGA.

DOS at the Fermi energy = 0.622 states/eV per atom
Crystal system = monoclinic

Lattice parameters (Å, degrees): 4.6889 4.9171 7.1408 95.43 90.00 118.48
Fractional positions:
Dy 0.5969 0.3158 0.1214
Dy 0.4031 0.6842 0.8786
Dy 0.2812 0.6842 0.3786
Dy 0.7188 0.3158 0.6214
C 0.1530 0.1507 0.4919
C 0.8470 0.8493 0.5081
C 0.0023 0.8493 0.0081
C 0.9977 0.1507 0.9919
Co 0.8963 0.0000 0.2500
Co 0.1037 0.0000 0.7500

=====

Verdict on stability: b comes out at the bottom.